Record 1
# KNbCd2H, relaxed, DFT PBE-GGA
data_KNbCd2H
_chemical_formula_sum 'K1 Nb1 Cd2 H1'
_symmetry_space_group_name_H-M 'P 4/m m m'
_symmetry_Int_Tables_number 123
_symmetry_space_group_name_Hall '-P 4 2'
_cell_length_a 4.8607
_cell_length_b 4.8607
_cell_length_c 4.4607
_cell_angle_alpha 90.00
_cell_angle_beta 90.00
_cell_angle_gamma 90.00
loop_
_atom_site_label
_atom_site_type_symbol
_atom_site_fract_x
_atom_site_fract_y
_atom_site_fract_z
K1 K 0.0000 0.0000 0.0000
Nb1 Nb 0.5000 0.5000 0.0000
Cd1 Cd 0.0000 0.5000 0.5000
H1 H 0.0000 0.0000 0.5000
# * E: -2.47 eV per atom
# * D(E_F): 2.40 states/eV/cell
# * calculated density: 5.64 g/cm3
# * total magnetic moment: 3.12 μB/cell


Record 2
# KCdNi2H, relaxed, DFT PBE-GGA
data_KCdNi2H
_chemical_formula_sum 'K1 Cd1 Ni2 H1'
_symmetry_space_group_name_H-M 'P 4/m m m'
_symmetry_Int_Tables_number 123
_symmetry_space_group_name_Hall '-P 4 2'
_cell_length_a 5.1003
_cell_length_b 5.1003
_cell_length_c 3.9225
_cell_angle_alpha 90.00
_cell_angle_beta 90.00
_cell_angle_gamma 90.00
loop_
_atom_site_label
_atom_site_type_symbol
_atom_site_fract_x
_atom_site_fract_y
_atom_site_fract_z
K1 K 0.0000 0.0000 0.0000
Cd1 Cd 0.5000 0.5000 0.5000
Ni1 Ni 0.0000 0.5000 0.5000
H1 H 0.5000 0.5000 0.0000
# * E: -2.47 eV per atom
# * D(E_F): 5.05 states/eV/cell
# * calculated density: 4.39 g/cm3
# * total magnetic moment: 1.27 μB/cell


Record 3
# KCdNiH6, relaxed, DFT PBE-GGA
data_KCdNiH6
_chemical_formula_sum 'K1 Cd1 Ni1 H6'
_symmetry_space_group_name_H-M 'P 3 1 2'
_symmetry_Int_Tables_number 149
_symmetry_space_group_name_Hall 'P 3 2'
_cell_length_a 4.8226
_cell_length_b 4.8226
_cell_length_c 5.3232
_cell_angle_alpha 90.00
_cell_angle_beta 90.00
_cell_angle_gamma 120.00
loop_
_atom_site_label
_atom_site_type_symbol
_atom_site_fract_x
_atom_site_fract_y
_atom_site_fract_z
K1 K 0.0000 0.0000 0.0000
Cd1 Cd 0.3333 0.6667 0.5000
Ni1 Ni 0.6667 0.3333 0.5000
H1 H 0.4720 0.0620 0.7012
# * E: -3.12 eV per atom
# * D(E_F): 1.78 states/eV/cell
# * calculated density: 3.35 g/cm3
# * total magnetic moment: 0.00 μB/cell


Record 4
# K2CdHO, relaxed, DFT PBE-GGA
data_K2CdHO
_chemical_formula_sum 'K2 Cd1 H1 O1'
_symmetry_space_group_name_H-M 'P 4/m m m'
_symmetry_Int_Tables_number 123
_symmetry_space_group_name_Hall '-P 4 2'
_cell_length_a 6.0329
_cell_length_b 6.0329
_cell_length_c 3.9308
_cell_angle_alpha 90.00
_cell_angle_beta 90.00
_cell_angle_gamma 90.00
loop_
_atom_site_label
_atom_site_type_symbol
_atom_site_fract_x
_atom_site_fract_y
_atom_site_fract_z
K1 K 0.0000 0.5000 0.0000
Cd1 Cd 0.0000 0.0000 0.0000
H1 H 0.0000 0.0000 0.5000
O1 O 0.5000 0.5000 0.5000
# * E: -2.08 eV per atom
# * D(E_F): 3.24 states/eV/cell
# * calculated density: 2.41 g/cm3
# * total magnetic moment: 0.00 μB/cell